A relaxed K3Sm2TmSe6 crystal. Source: Alexandria, functional PBE.

The space group is C2/m (No. 12) and the conventional cell measures 7.3681, 12.7628 and 8.0744 Å, with angles of 90.00, 107.72 and 90.00 degrees. Symmetry generates all atoms from K at (0.0000, 0.0000, 0.0000), K at (0.0000, 0.3319, 0.0000), Sm at (0.0000, 0.1665, 0.5000), Tm at (0.0000, 0.5000, 0.5000), Se at (0.2316, 0.3373, 0.7067) and Se at (0.2437, 0.0000, 0.7069).

The total magnetic moment comes out at 0.00 μB/f.u. The calculation puts the formation energy without anion corrections at -169.33 kJ/mol of atoms. Its density of states at the Fermi level is 0.0 states/eV per cell.

***

A relaxed Fe5As crystal. Source: Alexandria, functional PBE.

The space group is P4/mmm (No. 123) and the conventional cell measures 3.0205, 3.0205 and 8.0078 Å, with angles of 90.00, 90.00 and 90.00 degrees. Symmetry generates all atoms from Fe at (0.0000, 0.0000, 0.0000), Fe at (0.0000, 0.0000, 0.3337), Fe at (0.5000, 0.5000, 0.1678) and As at (0.5000, 0.5000, 0.5000).

The total magnetic moment comes out at 11.81 μB/f.u. Its density of states at the Fermi level is 5.9 states/eV per cell. The formation enthalpy at 0 K is 0.19 eV per formula unit.

***

A relaxed TaCu2Rh crystal. Source: Alexandria, functional PBE.

The space group is R3m (No. 160, hexagonal axes) and the conventional cell measures 2.8087, 2.8087 and 25.6119 Å, with angles of 90.00, 90.00 and 120.00 degrees. Symmetry generates all atoms from Ta at (0.0000, 0.0000, 0.0000), Cu at (0.0000, 0.0000, 0.4981), Cu at (0.0000, 0.0000, 0.7552) and Rh at (0.0000, 0.0000, 0.2483).

The total magnetic moment comes out at 0.00 μB/f.u. Its density of states at the Fermi level is 9.7 states/eV per cell. The formation enthalpy at 0 K is 0.06 eV per formula unit.

***

A relaxed Sr2Zn7Cd12 crystal. Source: Alexandria, functional PBE.

The space group is P-3 (No. 147) and the conventional cell measures 11.1350, 11.1350 and 4.3905 Å, with angles of 90.00, 90.00 and 120.00 degrees. Symmetry generates all atoms from Sr at (0.3333, 0.6667, 0.2465), Zn at (0.0000, 0.0000, 0.5000), Zn at (0.1273, 0.7113, 0.7461), Cd at (0.0511, 0.4347, 0.7500) and Cd at (0.1164, 0.2616, 0.2367).

The total magnetic moment comes out at 0.00 μB/f.u. Its density of states at the Fermi level is 10.7 states/eV per cell. The formation enthalpy at 0 K is -2.08 eV per formula unit.

***

A relaxed CoSn2H6Ir crystal. Source: Alexandria, functional PBE.

The space group is Pm (No. 6) and the conventional cell measures 4.9392, 4.4578 and 5.0246 Å, with angles of 90.00, 100.49 and 90.00 degrees. Symmetry generates all atoms from Co at (0.0000, 0.0000, 0.0000), Sn at (0.4847, 0.0000, 0.9326), Sn at (0.9599, 0.5000, 0.2470), H at (0.0875, 0.0000, 0.3063), H at (0.4149, 0.5000, 0.7963), H at (0.5412, 0.2593, 0.4741), H at (0.9855, 0.2287, 0.7394) and Ir at (0.7078, 0.5000, 0.6831).

The total magnetic moment comes out at 0.00 μB/f.u. Its density of states at the Fermi level is 0.5 states/eV per cell. The calculated total energy comes out at -4.428 eV per atom.

***

A relaxed TbPr2Bi crystal. Source: Alexandria, functional PBE.

The space group is P2_1/m (No. 11) and the conventional cell measures 4.7042, 4.7072 and 12.0875 Å, with angles of 90.00, 101.20 and 90.00 degrees. Symmetry generates all atoms from Tb at (0.1926, 0.2500, 0.3860), Pr at (0.0667, 0.7500, 0.1336), Pr at (0.4380, 0.7500, 0.8765) and Bi at (0.3266, 0.2500, 0.6527).

The total magnetic moment comes out at 0.00 μB/f.u. Its density of states at the Fermi level is 7.8 states/eV per cell. The energy above the lowest structure with this stoichiometry comes out at 8.7 meV/atom. The formation enthalpy at 0 K is -1.62 eV per formula unit.